# 1
The following is a DFT calculation (GGA-PBE) of a relaxed AgPb3Au crystal.

Cell lengths 10.8788, 9.3461, 6.6031 Å; angles 90.00, 123.62, 90.00 degrees
With the nearest neighbours (Å) after each atom.
Space group C2/m (No. 12)
One atom of each set of equivalent atoms:
Ag 0.0468 0.0000 0.2545 x4  2 Au 2.80-2.83, 1 Ag 2.92, 2 Pb 3.09
Pb 0.0721 0.5000 0.3168 x4  2 Au 2.96-3.09, 2 Pb 3.30
Pb 0.1840 0.2006 0.7006 x8  2 Au 2.96-3.08, 2 Ag 3.09-3.28, 1 Pb 3.30
Au 0.2468 0.5000 0.8782 x4  2 Ag 2.80-2.83, 6 Pb 2.96-3.09

The formation energy comes out at 0.065 eV per atom. The volume comes out at 27.95 Å³/atom. The offset from the most stable computed form comes out at 0.00 eV per formula unit. The crystal system is monoclinic.



# 2
The following is a DFT calculation (GGA-PBE) of a relaxed KSb2Te crystal.

Cell lengths 4.2834, 4.2834, 26.6654 Å; angles 90.00, 90.00, 120.00 degrees
With the nearest neighbours (Å) after each atom.
Space group R3m (No. 160, hexagonal axes)
One atom of each set of equivalent atoms:
K 0.0000 0.0000 0.0000 x3  3 Te 3.51, 3 Sb 3.67
Sb 0.0000 0.0000 0.4981 x3  3 Sb 2.99, 3 Te 3.18
Sb 0.0000 0.0000 0.7685 x3  3 Sb 2.99
Te 0.0000 0.0000 0.2397 x3  3 Sb 3.18, 3 K 3.51

The value obtained for the raw formation energy is -0.261 eV/atom. The volume comes out at 35.31 Å³/atom. The crystal system is trigonal.



# 3
The following is a DFT calculation (GGA-PBE) of a relaxed KSr3Se crystal.

Cell lengths 6.2715, 6.2715, 6.2715 Å; angles 90.00, 90.00, 90.00 degrees
With the nearest neighbours (Å) after each atom.
Space group Pm-3m (No. 221)
One atom of each set of equivalent atoms:
K 0.0000 0.0000 0.0000 x1  12 Sr 4.43
Sr 0.0000 0.5000 0.5000 x3  2 Se 3.14
Se 0.5000 0.5000 0.5000 x1  6 Sr 3.14

The value obtained for the raw formation energy is -0.630 eV/atom. The volume comes out at 49.33 Å³/atom. The offset from the most stable computed form comes out at 0.00 eV per formula unit. The crystal system is cubic.



# 4
The following is a DFT calculation (GGA-PBE) of a relaxed Sm2YHo4Sc crystal.

Cell lengths 4.9916, 4.9916, 9.9323 Å; angles 90.00, 90.00, 90.00 degrees
With the nearest neighbours (Å) after each atom.
Space group P4/mmm (No. 123)
One atom of each set of equivalent atoms:
Sm 0.0000 0.0000 0.0000 x1  8 Ho 3.48, 4 Sc 3.53
Sm 0.5000 0.5000 0.5000 x1  4 Y 3.53, 8 Ho 3.56
Y 0.0000 0.0000 0.5000 x1  4 Sm 3.53, 8 Ho 3.56
Ho 0.0000 0.5000 0.2444 x4  2 Sc 3.48, 4 Sm 3.48-3.56, 4 Ho 3.53, 2 Y 3.56
Sc 0.5000 0.5000 0.0000 x1  8 Ho 3.48, 4 Sm 3.53

The formation energy comes out at 0.034 eV per atom. The volume comes out at 30.93 Å³/atom. The crystal system is tetragonal.



# 5
The following is a DFT calculation (GGA-PBE) of a relaxed Ba6Li2Si4ClO15 crystal.

Cell lengths 5.7794, 5.7794, 29.8025 Å; angles 90.00, 90.00, 120.00 degrees
With the nearest neighbours (Å) after each atom.
Space group P6_3/mmc (No. 194)
One atom of each set of equivalent atoms:
Ba 0.0000 0.0000 0.0000 x2  6 O 2.90
Ba 0.0000 0.0000 0.1477 x4  9 O 2.78-3.00, 1 Cl 3.05
Ba 0.3333 0.6667 0.0840 x4  1 O 2.55
Ba 0.3333 0.6667 0.7500 x2  6 O 2.88, 2 Li 3.07
Li 0.3333 0.6667 0.6469 x4  3 O 1.98
Si 0.3333 0.6667 0.1939 x4  4 O 1.65-1.67
Si 0.3333 0.6667 0.5565 x4  4 O 1.63-1.65
Cl 0.0000 0.0000 0.2500 x2  5 Ba 3.05-3.34, 3 O 3.34
O 0.0252 0.5126 0.1746 x12  1 Si 1.65
O 0.1794 0.3587 0.5764 x12  1 Si 1.65
O 0.3333 0.6667 0.2500 x2  2 Si 1.67
O 0.3333 0.6667 0.5016 x4  1 Si 1.63

The value obtained for the raw formation energy is -2.766 eV/atom. The volume comes out at 15.39 Å³/atom. The crystal system is hexagonal.



# 6
The following is a DFT calculation (GGA-PBE) of a relaxed Zr5Be2Te2 crystal.

Cell lengths 14.2217, 7.2466, 7.1855 Å; angles 90.00, 90.00, 90.00 degrees
With the nearest neighbours (Å) after each atom.
Space group Cmce (No. 64)
One atom of each set of equivalent atoms:
Zr 0.0000 0.0000 0.0000 x4  4 Be 2.87-2.89, 2 Te 2.97, 8 Zr 3.15-3.18
Zr 0.1182 0.1686 0.3298 x16  3 Be 2.70-2.73, 3 Te 2.96-3.01
Be 0.0000 0.1195 0.6199 x8  1 Be 2.44, 6 Zr 2.70-2.73
Te 0.2085 0.0000 0.0000 x8  7 Zr 2.96-3.01

The value obtained for the raw formation energy is -0.474 eV/atom. The volume comes out at 20.57 Å³/atom. The crystal system is orthorhombic.



# 7
The following is a DFT calculation (GGA-PBE) of a relaxed KZrSb4 crystal.

Cell lengths 8.9211, 8.9211, 8.9211 Å; angles 90.00, 90.00, 90.00 degrees
With the nearest neighbours (Å) after each atom.
Space group F-43m (No. 216)
One atom of each set of equivalent atoms:
K 0.0000 0.0000 0.0000 x4  12 Sb 3.70, 4 Zr 3.86
Zr 0.2500 0.2500 0.2500 x4  12 Sb 3.70, 4 K 3.86
Sb 0.1240 0.1240 0.6240 x16  6 Sb 3.13-3.18

The value obtained for the raw formation energy is 0.231 eV/atom. The volume comes out at 29.58 Å³/atom. The crystal system is cubic.



# 8
The following is a DFT calculation (GGA-PBE) of a relaxed Li2Tl3ZnF9 crystal.

Cell lengths 5.6728, 5.6728, 7.0902 Å; angles 90.00, 90.00, 120.00 degrees
With the nearest neighbours (Å) after each atom.
Space group P-3m1 (No. 164)
One atom of each set of equivalent atoms:
Li 0.3333 0.6667 0.1730 x2  6 F 1.98-2.05
Tl 0.0000 0.0000 0.0000 x1  12 F 2.83-2.84
Tl 0.3333 0.6667 0.7108 x2  9 F 2.62-2.85
Zn 0.0000 0.0000 0.5000 x1  6 F 2.04
F 0.0000 0.5000 0.0000 x3  2 Li 2.05
F 0.1652 0.3304 0.3263 x6  1 Li 1.98, 1 Zn 2.04

The value obtained for the raw formation energy is -2.100 eV/atom. The volume comes out at 13.17 Å³/atom. The crystal system is trigonal.



# 9
The following is a DFT calculation (GGA-PBE) of a relaxed CrFeRh2 crystal.

Cell lengths 2.8278, 4.3828, 8.5727 Å; angles 90.00, 90.00, 90.00 degrees
With the nearest neighbours (Å) after each atom.
Space group Cmm2 (No. 35)
One atom of each set of equivalent atoms:
Cr 0.0000 0.0000 0.0000 x2  2 Fe 2.44, 2 Rh 2.51, 4 Cr 2.61
Fe 0.0000 0.5000 0.2320 x2  2 Cr 2.44, 2 Rh 2.55, 4 Fe 2.61
Rh 0.0000 0.0000 0.4791 x2  2 Fe 2.55, 8 Rh 2.61-2.83
Rh 0.0000 0.5000 0.7586 x2  2 Cr 2.51, 6 Rh 2.61-2.78

The formation energy comes out at 0.178 eV per atom. The volume comes out at 13.28 Å³/atom. The crystal system is orthorhombic.



# 10
The following is a DFT calculation (GGA-PBE) of a relaxed KBaCa2 crystal.

Cell lengths 9.4948, 9.4948, 9.4948 Å; angles 90.00, 90.00, 90.00 degrees
With the nearest neighbours (Å) after each atom.
Space group Fm-3m (No. 225)
One atom of each set of equivalent atoms:
K 0.0000 0.0000 0.0000 x4  8 Ca 4.11
Ba 0.0000 0.0000 0.5000 x4  8 Ca 4.11
Ca 0.2500 0.2500 0.2500 x8  4 Ba 4.11, 4 K 4.11

The formation energy comes out at 0.170 eV per atom. The volume comes out at 53.50 Å³/atom. The offset from the most stable computed form comes out at 0.31 eV per formula unit. The crystal system is cubic.



# 11
The following is a DFT calculation (GGA-PBE) of a relaxed Zr2BiAu crystal.

Cell lengths 7.8518, 7.8518, 6.2226 Å; angles 90.00, 90.00, 90.00 degrees
With the nearest neighbours (Å) after each atom.
Space group I-42d (No. 122)
One atom of each set of equivalent atoms:
Zr 0.2315 0.2500 0.1250 x8  2 Au 2.79, 2 Bi 2.98
Bi 0.0000 0.0000 0.5000 x4  4 Zr 2.98, 2 Au 3.11
Au 0.0000 0.0000 0.0000 x4  4 Zr 2.79, 2 Bi 3.11

The formation energy comes out at -0.165 eV per atom. The volume comes out at 23.98 Å³/atom. The crystal system is tetragonal.



# 12
The following is a DFT calculation (GGA-PBE) of a relaxed NaNb2Re crystal.

Cell lengths 6.5355, 6.5355, 6.5355 Å; angles 90.00, 90.00, 90.00 degrees
With the nearest neighbours (Å) after each atom.
Space group Fm-3m (No. 225)
One atom of each set of equivalent atoms:
Na 0.0000 0.0000 0.0000 x4  8 Nb 2.83
Nb 0.2500 0.2500 0.2500 x8  4 Na 2.83, 4 Re 2.83
Re 0.0000 0.0000 0.5000 x4  8 Nb 2.83

The formation energy comes out at 0.518 eV per atom. The volume comes out at 17.45 Å³/atom. The offset from the most stable computed form comes out at 0.00 eV per formula unit. The crystal system is cubic.